1.
First-principles (PBE) data for Ac3YS6 after structural relaxation, as listed in Alexandria via LeMat-Bulk.

```
Ac3YS6
1.0
-5.722 -5.955 2.298
6.534 -5.472 0.923
0.795 2.798 8.064
Ac Y S
6 2 12
direct
0.431 0.924 0.748 Ac
0.924 0.748 0.431 Ac
0.252 0.569 0.076 Ac
0.748 0.431 0.924 Ac
0.076 0.252 0.569 Ac
0.569 0.076 0.252 Ac
0.000 0.000 0.000 Y
0.500 0.500 0.500 Y
0.304 0.918 0.072 S
0.082 0.928 0.696 S
0.586 0.805 0.458 S
0.928 0.696 0.082 S
0.458 0.586 0.805 S
0.195 0.542 0.414 S
0.805 0.458 0.586 S
0.542 0.414 0.195 S
0.072 0.304 0.918 S
0.414 0.195 0.542 S
0.918 0.072 0.304 S
0.696 0.082 0.928 S
```

Symmetry: R-3, No. 148
Formation energy without anion corrections, eV/f.u.: -21.53



2.
First-principles (PBE) data for Tb4YSc2 after structural relaxation, as listed in Alexandria via LeMat-Bulk.

```
Tb4YSc2
1.0
-1.633 -5.168 0.733
3.032 -1.780 -5.798
10.385 0.370 5.318
Tb Y Sc
8 2 4
direct
0.646 0.500 0.292 Tb
0.924 0.750 0.844 Tb
0.076 0.250 0.156 Tb
0.646 0.000 0.292 Tb
0.785 0.250 0.570 Tb
0.354 0.000 0.708 Tb
0.354 0.500 0.708 Tb
0.215 0.750 0.430 Tb
0.072 0.750 0.140 Y
0.928 0.250 0.860 Y
0.499 0.750 0.991 Sc
0.501 0.250 0.009 Sc
0.215 0.250 0.430 Sc
0.785 0.750 0.570 Sc
```

Symmetry: P2_1/m, No. 11
Calculated formation energy, meV per atom: 148



3.
First-principles (PBE) data for NbSiNi3 after structural relaxation, as listed in Alexandria via LeMat-Bulk.

```
NbSiNi3
1.0
-2.079 0.893 3.930
-3.664 -2.259 -1.426
1.677 -3.829 1.757
Ni Nb Si
3 1 1
direct
0.000 0.500 0.000 Ni
0.000 0.000 0.500 Ni
0.500 0.000 0.000 Ni
0.000 0.000 0.000 Nb
0.500 0.500 0.500 Si
```

Symmetry: Pm-3m, No. 221
Formation energy without anion corrections, eV/f.u.: 7.08



> Which formula does entry 3 have?

NbSiNi3